# 1
Computed, not measured: La2CrRu after structural relaxation at the GGA-PBE level of DFT.

Properties
Excess energy over the best structure of this formula in the dataset in meV per atom: 28
N(E_F) in states/eV/cell: 3.1
SG: No. 65
Size of the total moment in μB/f.u.: 3.56
Energy in eV per cell: -27.90

Geometry as POSCAR:
```
La2CrRu
1.0
3.587 -3.595 0.000
3.587 3.595 0.000
0.000 0.000 3.718
La Cr Ru
2 1 1
Cartesian
1.793 1.798 0.000
1.793 -1.798 0.000
0.000 0.000 1.859
3.587 0.000 1.859
```

=====

# 2
Computed, not measured: RbMnReW2 after structural relaxation at the GGA-PBE level of DFT.

Properties
Excess energy over the best structure of this formula in the dataset in meV per atom: 0
N(E_F) in states/eV/cell: 4.6
SG: No. 123
Size of the total moment in μB/f.u.: 0.68
Energy in eV per cell: -39.46

Geometry as POSCAR:
```
RbMnReW2
1.0
4.916 0.000 0.000
0.000 4.916 0.000
0.000 0.000 5.152
Rb Mn Re W
1 1 1 2
Cartesian
0.000 0.000 0.000
2.458 2.458 0.000
2.458 2.458 2.576
0.000 2.458 2.576
2.458 0.000 2.576
```

=====

# 3
Computed, not measured: PmTiAgPb after structural relaxation at the GGA-PBE level of DFT.

Properties
N(E_F) in states/eV/cell: 3.1
SG: No. 216
Size of the total moment in μB/f.u.: 2.14
Energy in eV per cell: -19.59

Geometry as POSCAR:
```
PmTiAgPb
1.0
0.000 3.636 3.636
3.636 0.000 3.636
3.636 3.636 0.000
Pm Ti Ag Pb
1 1 1 1
Cartesian
0.000 0.000 0.000
3.636 3.636 3.636
1.818 1.818 1.818
5.455 5.455 5.455
```

=====

# 4
Computed, not measured: Mg2Ag2Hg after structural relaxation at the GGA-PBE level of DFT.

Properties
Excess energy over the best structure of this formula in the dataset in meV per atom: 64
N(E_F) in states/eV/cell: 1.5
SG: No. 12
Size of the total moment in μB/f.u.: 0.00
Energy in eV per cell: -9.69

Geometry as POSCAR:
```
Mg2Ag2Hg
1.0
7.309 -2.308 0.000
7.309 2.308 0.000
-0.578 0.000 3.045
Mg Ag Hg
2 2 1
Cartesian
2.593 0.000 0.545
11.447 0.000 2.500
5.332 0.000 1.155
8.708 0.000 1.890
-0.289 0.000 1.522
```

=====

# 5
Computed, not measured: FeHg after structural relaxation at the GGA-PBE level of DFT.

Properties
N(E_F) in states/eV/cell: 2.3
SG: No. 166
Size of the total moment in μB/f.u.: 2.62
Energy in eV per cell: -7.66

Geometry as POSCAR:
```
FeHg
1.0
1.479 0.854 4.519
-1.479 0.854 4.519
0.000 -1.708 4.519
Fe Hg
1 1
Cartesian
0.000 0.000 0.000
0.000 0.000 6.779
```

=====

# 6
Computed, not measured: CsAsRu after structural relaxation at the GGA-PBE level of DFT.

Properties
N(E_F) in states/eV/cell: 3.3
SG: No. 12
Size of the total moment in μB/f.u.: 0.00
Energy in eV per cell: -31.84

Geometry as POSCAR:
```
CsAsRu
1.0
12.254 -2.095 0.000
12.254 2.095 0.000
-0.540 0.000 4.146
Cs As Ru
2 2 2
Cartesian
2.708 0.000 0.608
21.260 0.000 3.538
7.260 0.000 1.202
16.708 0.000 2.945
5.721 0.000 3.110
18.247 0.000 1.036
```

=====

# 7
Computed, not measured: AcLa2PbC after structural relaxation at the GGA-PBE level of DFT.

Properties
N(E_F) in states/eV/cell: 3.1
SG: No. 123
Size of the total moment in μB/f.u.: 0.00
Energy in eV per cell: -28.66

Geometry as POSCAR:
```
AcLa2PbC
1.0
5.262 0.000 0.000
0.000 5.262 0.000
0.000 0.000 5.452
Ac La Pb C
1 2 1 1
Cartesian
0.000 0.000 0.000
0.000 2.631 2.726
2.631 0.000 2.726
2.631 2.631 0.000
0.000 0.000 2.726
```

=====

# 8
Computed, not measured: La2As2P after structural relaxation at the GGA-PBE level of DFT.

Properties
Excess energy over the best structure of this formula in the dataset in meV per atom: 54
N(E_F) in states/eV/cell: 6.1
SG: No. 127
Size of the total moment in μB/f.u.: 0.00
Energy in eV per cell: -59.38

Geometry as POSCAR:
```
La2As2P
1.0
7.962 0.000 0.000
0.000 7.962 0.000
0.000 0.000 4.326
La As P
4 4 2
Cartesian
1.467 2.514 0.000
2.514 6.495 0.000
5.448 1.467 0.000
6.495 5.448 0.000
0.861 4.842 2.163
3.120 0.861 2.163
4.842 7.101 2.163
7.101 3.120 2.163
0.000 0.000 0.000
3.981 3.981 0.000
```

=====

What is the size of the total moment in the fifth record?
2.62 μB/f.u.